# 1
Crystalline Ag3SbSe at its relaxed geometry, computed with PBE-GGA.

Output
theoretical density	6.1	g/cm3
E above lowest polymorph	263.3	kJ/mol of formula units
total DFT energy (no corrections)	-2.64	eV per atom
size of the total moment	0.000	μB/f.u.
N(E_F)	1.261	states/eV/atom

Unit cell a=5.2308 b=5.2308 c=5.2308 alpha=90.00 beta=90.00 gamma=90.00
With the nearest neighbours (Å) after each atom.
Space group Pm-3m (No. 221)
Unique sites:
Ag 0.0000 0.0000 0.5000 (multiplicity 3)  2 Sb 2.62
Sb 0.0000 0.0000 0.0000 (multiplicity 1)  6 Ag 2.62
Se 0.5000 0.5000 0.5000 (multiplicity 1)  12 Ag 3.70

***

# 2
Crystalline Ag2SbSe5 at its relaxed geometry, computed with PBE-GGA.

Output
theoretical density	6.5	g/cm3
total DFT energy (no corrections)	-3.37	eV per atom
size of the total moment	0.000	μB/f.u.
N(E_F)	0.423	states/eV/atom

Unit cell a=9.7512 b=8.0018 c=5.8227 alpha=90.00 beta=124.89 gamma=90.00
With the nearest neighbours (Å) after each atom.
Space group Cm (No. 8)
Unique sites:
Ag 0.0000 0.0000 0.0000 (multiplicity 2)  4 Se 2.83, 2 Ag 2.91
Ag 0.0003 0.0000 0.5003 (multiplicity 2)  4 Se 2.83, 2 Ag 2.91
Sb 0.9999 0.5000 0.4878 (multiplicity 2)  6 Se 2.79-3.03
Se 0.0007 0.5000 0.0087 (multiplicity 2)  2 Sb 2.79-3.03, 4 Se 2.85-2.86
Se 0.2482 0.2520 0.7495 (multiplicity 4)  1 Sb 2.81, 2 Ag 2.83, 3 Se 2.86-2.92
Se 0.2519 0.2482 0.2516 (multiplicity 4)  1 Sb 2.81, 2 Ag 2.83, 3 Se 2.85-2.92

***

# 3
Crystalline Ag2SbSe2 at its relaxed geometry, computed with PBE-GGA.

Output
theoretical density	7.7	g/cm3
E above lowest polymorph	85.0	kJ/mol of formula units
total DFT energy (no corrections)	-3.20	eV per atom
size of the total moment	0.000	μB/f.u.
N(E_F)	0.343	states/eV/atom

Unit cell a=7.8113 b=7.8113 c=3.5173 alpha=90.00 beta=90.00 gamma=90.00
With the nearest neighbours (Å) after each atom.
Space group P4/mbm (No. 127)
Unique sites:
Ag 0.1293 0.3707 0.0000 (multiplicity 4)  6 Se 2.80-2.97, 1 Ag 2.86, 2 Sb 3.07
Sb 0.0000 0.0000 0.0000 (multiplicity 2)  4 Ag 3.07, 8 Se 3.38
Se 0.1731 0.6731 0.5000 (multiplicity 4)  6 Ag 2.80-2.97

***

# 4
Crystalline AgSbSe at its relaxed geometry, computed with PBE-GGA.

Output
theoretical density	6.4	g/cm3
total DFT energy (no corrections)	-3.52	eV per atom
size of the total moment	0.000	μB/f.u.
N(E_F)	0.276	states/eV/atom

Unit cell a=4.5200 b=4.5383 c=8.9783 alpha=89.16 beta=89.94 gamma=60.26
With the nearest neighbours (Å) after each atom.
Space group P-1 (No. 2)
Unique sites:
Ag 0.1843 0.1315 0.0727 (multiplicity 2)  2 Se 2.62-2.63, 2 Ag 2.82
Sb 0.1785 0.1437 0.5867 (multiplicity 2)  1 Se 2.68, 2 Sb 2.98
Se 0.4126 0.6744 0.8068 (multiplicity 2)  2 Ag 2.62-2.63, 1 Sb 2.68

***

# 5
Crystalline Ag4Sb2Se5 at its relaxed geometry, computed with PBE-GGA.

Output
theoretical density	6.2	g/cm3
total DFT energy (no corrections)	-3.41	eV per atom
size of the total moment	0.000	μB/f.u.
N(E_F)	0.316	states/eV/atom

Unit cell a=4.3408 b=4.3408 c=53.0451 alpha=90.00 beta=90.00 gamma=120.00
With the nearest neighbours (Å) after each atom.
Space group R-3m (No. 166, hexagonal axes)
Unique sites:
Ag 0.0000 0.0000 0.0844 (multiplicity 6)  4 Se 2.57-2.83
Ag 0.0000 0.0000 0.1896 (multiplicity 6)  3 Se 2.57
Sb 0.0000 0.0000 0.3648 (multiplicity 6)  6 Se 2.92-3.01
Se 0.0000 0.0000 0.0000 (multiplicity 3)  6 Sb 3.01
Se 0.0000 0.0000 0.1327 (multiplicity 6)  4 Ag 2.57
Se 0.0000 0.0000 0.2738 (multiplicity 6)  3 Ag 2.83, 3 Sb 2.92

***

# 6
Crystalline AgSbSe2 at its relaxed geometry, computed with PBE-GGA.

Output
theoretical density	5.5	g/cm3
total DFT energy (no corrections)	-3.62	eV per atom
size of the total moment	0.000	μB/f.u.

Unit cell a=8.6007 b=8.4194 c=6.4249 alpha=90.00 beta=90.00 gamma=90.00
With the nearest neighbours (Å) after each atom.
Space group Pna2_1 (No. 33)
Unique sites:
Ag 0.0831 0.1183 0.0000 (multiplicity 4)  4 Se 2.69-2.73
Sb 0.1269 0.5868 0.0089 (multiplicity 4)  3 Se 2.60-2.86
Se 0.0445 0.1662 0.5884 (multiplicity 4)  1 Sb 2.60, 2 Ag 2.70
Se 0.1134 0.6378 0.5982 (multiplicity 4)  2 Sb 2.68-2.86, 2 Ag 2.69-2.73

***

# 7
Crystalline AgSbSe at its relaxed geometry, computed with PBE-GGA.

Output
theoretical density	7.2	g/cm3
total DFT energy (no corrections)	-3.22	eV per atom
size of the total moment	0.000	μB/f.u.
N(E_F)	0.788	states/eV/atom

Unit cell a=3.2368 b=3.2368 c=7.8910 alpha=90.00 beta=90.00 gamma=120.00
With the nearest neighbours (Å) after each atom.
Space group P3m1 (No. 156)
Unique sites:
Ag 0.0000 0.0000 0.0000 (multiplicity 1)  3 Se 2.80, 3 Sb 3.03
Sb 0.6667 0.3333 0.3017 (multiplicity 1)  3 Ag 3.03, 6 Sb 3.24
Se 0.3333 0.6667 0.7363 (multiplicity 1)  3 Ag 2.80

***

# 8
Crystalline AgSbSe2 at its relaxed geometry, computed with PBE-GGA.

Output
theoretical density	6.1	g/cm3
total DFT energy (no corrections)	-3.60	eV per atom
size of the total moment	0.000	μB/f.u.
N(E_F)	0.145	states/eV/atom

Unit cell a=13.0084 b=4.0317 c=4.0486 alpha=90.00 beta=90.79 gamma=90.00
With the nearest neighbours (Å) after each atom.
Space group Cm (No. 8)
Unique sites:
Ag 0.0000 0.0000 0.0000 (multiplicity 2)  4 Se 2.82-2.90
Sb 0.2062 0.5000 0.5508 (multiplicity 2)  3 Se 2.59-2.75
Se 0.0073 0.5000 0.5135 (multiplicity 2)  1 Sb 2.59, 4 Ag 2.82-2.90
Se 0.2434 0.0000 0.1043 (multiplicity 2)  4 Sb 2.75-3.05

***

# 9
Crystalline AgSbSe at its relaxed geometry, computed with PBE-GGA.

Output
theoretical density	6.7	g/cm3
total DFT energy (no corrections)	-3.30	eV per atom
size of the total moment	0.000	μB/f.u.
N(E_F)	0.579	states/eV/atom

Unit cell a=6.7232 b=6.7232 c=6.7232 alpha=90.00 beta=90.00 gamma=90.00
With the nearest neighbours (Å) after each atom.
Space group F-43m (No. 216)
Unique sites:
Ag 0.0000 0.0000 0.0000 (multiplicity 4)  4 Se 2.91, 4 Sb 2.91
Sb 0.2500 0.2500 0.7500 (multiplicity 4)  4 Ag 2.91
Se 0.2500 0.2500 0.2500 (multiplicity 4)  4 Ag 2.91

***

# 10
Crystalline Ag12SbSe7 at its relaxed geometry, computed with PBE-GGA.

Output
theoretical density	7.2	g/cm3
total DFT energy (no corrections)	-3.17	eV per atom
size of the total moment	0.000	μB/f.u.
N(E_F)	0.171	states/eV/atom

Unit cell a=7.6938 b=7.7283 c=8.3072 alpha=102.82 beta=100.45 gamma=104.37
With the nearest neighbours (Å) after each atom.
Space group P1 (No. 1)
Unique sites:
Ag 0.0000 0.0000 0.0000 (multiplicity 1)  3 Se 2.65-2.90, 1 Ag 2.90
Ag 0.0053 0.5232 0.6267 (multiplicity 1)  3 Se 2.75-2.90, 5 Ag 2.93-3.04
Ag 0.0743 0.7595 0.3757 (multiplicity 1)  2 Se 2.55-2.59
Ag 0.1754 0.3849 0.2718 (multiplicity 1)  3 Se 2.63-2.89
Ag 0.2693 0.7007 0.0866 (multiplicity 1)  4 Se 2.75-2.87, 2 Ag 2.98-3.06
Ag 0.3133 0.1709 0.5369 (multiplicity 1)  3 Se 2.65-2.81
Ag 0.3993 0.6814 0.6190 (multiplicity 1)  4 Se 2.74-2.98, 2 Ag 2.91-2.99
Ag 0.6577 0.4885 0.7312 (multiplicity 1)  2 Se 2.78-2.79, 5 Ag 2.83-3.02
Ag 0.7132 0.1529 0.5619 (multiplicity 1)  2 Se 2.59-2.61, 1 Ag 2.83
Ag 0.7462 0.8943 0.2443 (multiplicity 1)  3 Se 2.61-2.74
Ag 0.8062 0.7993 0.5991 (multiplicity 1)  3 Se 2.69-2.76, 2 Ag 2.92-2.94
Ag 0.9898 0.3336 0.8976 (multiplicity 1)  3 Se 2.71-2.85, 4 Ag 2.90-2.98
Sb 0.5745 0.3232 0.0943 (multiplicity 1)  4 Se 2.76-3.05
Se 0.1780 0.9003 0.6978 (multiplicity 1)  5 Ag 2.55-2.81
Se 0.3160 0.4372 0.8120 (multiplicity 1)  6 Ag 2.71-2.90
Se 0.3277 0.0767 0.2137 (multiplicity 1)  4 Ag 2.65-2.89, 1 Sb 2.82
Se 0.5158 0.6150 0.3189 (multiplicity 1)  5 Ag 2.68-2.78, 1 Sb 2.78
Se 0.6880 0.0341 0.8277 (multiplicity 1)  4 Ag 2.59-2.76
Se 0.8445 0.2562 0.3183 (multiplicity 1)  4 Ag 2.61-2.75, 1 Sb 2.76
Se 0.8812 0.6396 0.0615 (multiplicity 1)  6 Ag 2.59-2.90

***

# 11
Crystalline AgSbSe2 at its relaxed geometry, computed with PBE-GGA.

Output
theoretical density	6.6	g/cm3
total DFT energy (no corrections)	-3.67	eV per atom
size of the total moment	0.000	μB/f.u.
N(E_F)	0.006	states/eV/atom

Unit cell a=7.1534 b=4.1297 c=6.9939 alpha=90.00 beta=110.02 gamma=90.00
With the nearest neighbours (Å) after each atom.
Space group C2/m (No. 12)
Unique sites:
Ag 0.0000 0.0000 0.0000 (multiplicity 2)  6 Se 2.87-2.88
Sb 0.0000 0.5000 0.5000 (multiplicity 2)  6 Se 2.92
Se 0.2479 0.5000 0.2445 (multiplicity 4)  3 Ag 2.87-2.88, 3 Sb 2.92

***

# 12
Crystalline Ag5Sb2Se5 at its relaxed geometry, computed with PBE-GGA.

Output
theoretical density	6.9	g/cm3
total DFT energy (no corrections)	-3.32	eV per atom
size of the total moment	0.000	μB/f.u.
N(E_F)	0.260	states/eV/atom

Unit cell a=14.9951 b=3.9344 c=9.6898 alpha=90.00 beta=99.80 gamma=90.00
With the nearest neighbours (Å) after each atom.
Space group C2/m (No. 12)
Unique sites:
Ag 0.0000 0.0000 0.0000 (multiplicity 2)  4 Se 2.78, 4 Sb 3.04
Ag 0.1326 0.0000 0.5574 (multiplicity 4)  5 Se 2.78-2.94, 1 Ag 2.91
Ag 0.2216 0.0000 0.8489 (multiplicity 4)  5 Se 2.75-2.83, 1 Ag 2.91
Sb 0.0809 0.5000 0.2268 (multiplicity 4)  5 Se 2.87-3.21, 3 Ag 3.04-3.17
Se 0.0000 0.5000 0.5000 (multiplicity 2)  4 Ag 2.78, 2 Sb 3.09
Se 0.1210 0.5000 0.9478 (multiplicity 4)  5 Ag 2.75-2.81, 1 Sb 2.87
Se 0.2276 0.0000 0.3327 (multiplicity 4)  5 Ag 2.80-2.94, 2 Sb 3.00